Here is a relaxed BaCuTc2 crystal from the Alexandria database. Energies are from PBE-GGA.

Properties
- Total DFT energy (no corrections): -5.757 eV/atom
- ΔE_f: 0.93 eV/atom
- Magnetization: 0.000 μB/f.u.
- Fermi-level density of states: 23.12 states/eV per cell
- Energy above the most stable polymorph in this dataset: 569.4 meV per atom

Unit cell a=4.678 b=4.678 c=18.514 alpha=90.00 beta=90.00 gamma=90.00
Space group I4_1/amd (No. 141, origin choice 2)
One atom of each set of equivalent atoms:
Ba: 0.000 0.250 0.375
Cu: 0.000 0.250 0.875
Tc: 0.000 0.000 0.000



Here is a relaxed BaCuTc2 crystal from the Alexandria database. Energies are from PBE-GGA.

Properties
- Total DFT energy (no corrections): -5.762 eV/atom
- ΔE_f: 0.93 eV/atom
- Magnetization: 0.643 μB/f.u.
- Fermi-level density of states: 9.96 states/eV per cell
- Energy above the most stable polymorph in this dataset: 564.4 meV per atom

Unit cell a=3.578 b=5.742 c=9.046 alpha=90.00 beta=90.00 gamma=90.00
Space group Imm2 (No. 44)
One atom of each set of equivalent atoms:
Ba: 0.000 0.000 0.000
Cu: 0.000 0.500 0.803
Tc: 0.000 0.000 0.518
Tc: 0.000 0.500 0.183



Here is a relaxed BaCu2Tc crystal from the Alexandria database. Energies are from PBE-GGA.

Properties
- Total DFT energy (no corrections): -4.092 eV/atom
- ΔE_f: 1.03 eV/atom
- Magnetization: 2.066 μB/f.u.
- Fermi-level density of states: 18.24 states/eV per cell
- Energy above the most stable polymorph in this dataset: 675.3 meV per atom

Unit cell a=6.830 b=6.830 c=6.830 alpha=90.00 beta=90.00 gamma=90.00
Space group F-43m (No. 216)
One atom of each set of equivalent atoms:
Ba: 0.000 0.000 0.000
Cu: 0.000 0.000 0.500
Cu: 0.250 0.250 0.750
Tc: 0.250 0.250 0.250



Here is a relaxed BaCuTc2 crystal from the Alexandria database. Energies are from PBE-GGA.

Properties
- Total DFT energy (no corrections): -5.620 eV/atom
- ΔE_f: 1.07 eV/atom
- Magnetization: 0.001 μB/f.u.
- Fermi-level density of states: 18.31 states/eV per cell
- Energy above the most stable polymorph in this dataset: 706.5 meV per atom

Unit cell a=6.722 b=6.722 c=6.722 alpha=90.00 beta=90.00 gamma=90.00
Space group F-43m (No. 216)
One atom of each set of equivalent atoms:
Ba: 0.000 0.000 0.000
Cu: 0.250 0.250 0.750
Tc: 0.000 0.000 0.500
Tc: 0.250 0.250 0.250



Here is a relaxed BaCuTc2 crystal from the Alexandria database. Energies are from PBE-GGA.

Properties
- Total DFT energy (no corrections): -5.471 eV/atom
- ΔE_f: 1.22 eV/atom
- Magnetization: 0.000 μB/f.u.
- Fermi-level density of states: 19.67 states/eV per cell
- Energy above the most stable polymorph in this dataset: 855.5 meV per atom

Unit cell a=2.9350 b=2.9350 c=30.2916 alpha=90.00 beta=90.00 gamma=120.00
Space group R-3m (No. 166, hexagonal axes)
One atom of each set of equivalent atoms:
Ba: 0.0000 0.0000 0.0000
Cu: 0.0000 0.0000 0.5000
Tc: 0.0000 0.0000 0.2336



Here is a relaxed BaCuTc2 crystal from the Alexandria database. Energies are from PBE-GGA.

Properties
- Total DFT energy (no corrections): -5.310 eV/atom
- ΔE_f: 1.38 eV/atom
- Magnetization: 0.000 μB/f.u.
- Fermi-level density of states: 24.08 states/eV per cell
- Energy above the most stable polymorph in this dataset: 1016.8 meV per atom

Unit cell a=6.611 b=6.611 c=6.611 alpha=90.00 beta=90.00 gamma=90.00
Space group Fm-3m (No. 225)
One atom of each set of equivalent atoms:
Ba: 0.000 0.000 0.000
Cu: 0.000 0.000 0.500
Tc: 0.250 0.250 0.250



Here is a relaxed BaCu2Tc crystal from the Alexandria database. Energies are from PBE-GGA.

Properties
- Total DFT energy (no corrections): -4.308 eV/atom
- ΔE_f: 0.81 eV/atom
- Magnetization: 0.002 μB/f.u.
- Fermi-level density of states: 7.15 states/eV per cell
- Energy above the most stable polymorph in this dataset: 458.6 meV per atom

Unit cell a=3.005 b=5.162 c=9.867 alpha=90.00 beta=90.00 gamma=90.00
Space group Imm2 (No. 44)
One atom of each set of equivalent atoms:
Ba: 0.000 0.000 0.000
Cu: 0.000 0.000 0.488
Cu: 0.000 0.500 0.780
Tc: 0.000 0.500 0.211



Here is a relaxed BaCu2Tc crystal from the Alexandria database. Energies are from PBE-GGA.

Properties
- Total DFT energy (no corrections): -4.450 eV/atom
- ΔE_f: 0.67 eV/atom
- Magnetization: 0.000 μB/f.u.
- Fermi-level density of states: 4.29 states/eV per cell
- Energy above the most stable polymorph in this dataset: 316.5 meV per atom

Unit cell a=3.034 b=3.328 c=7.622 alpha=90.00 beta=90.00 gamma=90.00
Space group Pmm2 (No. 25)
One atom of each set of equivalent atoms:
Ba: 0.000 0.000 0.000
Cu: 0.000 0.000 0.489
Cu: 0.500 0.500 0.330
Tc: 0.500 0.500 0.667



Here is a relaxed BaCu2Tc crystal from the Alexandria database. Energies are from PBE-GGA.

Properties
- Total DFT energy (no corrections): -4.767 eV/atom
- ΔE_f: 0.35 eV/atom
- Magnetization: 1.355 μB/f.u.
- Fermi-level density of states: 8.53 states/eV per cell
- Energy above the most stable polymorph in this dataset: 0.0 meV per atom

Unit cell a=4.3412 b=4.3412 c=17.0472 alpha=90.00 beta=90.00 gamma=120.00
Space group R-3m (No. 166, hexagonal axes)
One atom of each set of equivalent atoms:
Ba: 0.0000 0.0000 0.0000
Cu: 0.0000 0.0000 0.1849
Tc: 0.0000 0.0000 0.5000



Here is a relaxed Ba3CuTc crystal from the Alexandria database. Energies are from PBE-GGA.

Properties
- Total DFT energy (no corrections): -3.424 eV/atom
- ΔE_f: 0.62 eV/atom
- Magnetization: 0.000 μB/f.u.
- Fermi-level density of states: 1.01 states/eV per cell
- Energy above the most stable polymorph in this dataset: 0.0 meV per atom

Unit cell a=5.842 b=5.842 c=5.842 alpha=90.00 beta=90.00 gamma=90.00
Space group Pm-3m (No. 221)
One atom of each set of equivalent atoms:
Ba: 0.000 0.000 0.500
Cu: 0.500 0.500 0.500
Tc: 0.000 0.000 0.000



Here is a relaxed BaCu2Tc crystal from the Alexandria database. Energies are from PBE-GGA.

Properties
- Total DFT energy (no corrections): -4.484 eV/atom
- ΔE_f: 0.64 eV/atom
- Magnetization: 0.003 μB/f.u.
- Fermi-level density of states: 4.56 states/eV per cell
- Energy above the most stable polymorph in this dataset: 282.9 meV per atom

Unit cell a=3.056 b=4.140 c=6.536 alpha=90.00 beta=98.94 gamma=90.00
Space group Pm (No. 6)
One atom of each set of equivalent atoms:
Ba: 0.000 0.000 0.000
Cu: 0.610 0.500 0.304
Cu: 0.645 0.000 0.520
Tc: 0.216 0.500 0.618



Here is a relaxed BaCu2Tc crystal from the Alexandria database. Energies are from PBE-GGA.

Properties
- Total DFT energy (no corrections): -4.175 eV/atom
- ΔE_f: 0.95 eV/atom
- Magnetization: 2.220 μB/f.u.
- Fermi-level density of states: 9.13 states/eV per cell
- Energy above the most stable polymorph in this dataset: 592.2 meV per atom

Unit cell a=4.229 b=4.229 c=9.011 alpha=90.00 beta=90.00 gamma=90.00
Space group I-4m2 (No. 119)
One atom of each set of equivalent atoms:
Ba: 0.000 0.000 0.000
Cu: 0.000 0.000 0.500
Cu: 0.000 0.500 0.750
Tc: 0.000 0.500 0.250



Here is a relaxed BaCu2Tc crystal from the Alexandria database. Energies are from PBE-GGA.

Properties
- Total DFT energy (no corrections): -4.301 eV/atom
- ΔE_f: 0.82 eV/atom
- Magnetization: 0.560 μB/f.u.
- Fermi-level density of states: 6.85 states/eV per cell
- Energy above the most stable polymorph in this dataset: 465.4 meV per atom

Unit cell a=6.198 b=7.936 c=3.038 alpha=90.00 beta=90.00 gamma=90.00
Space group Cmmm (No. 65)
One atom of each set of equivalent atoms:
Ba: 0.000 0.000 0.000
Cu: 0.250 0.250 0.500
Tc: 0.000 0.500 0.000



Here is a relaxed BaCuTc2 crystal from the Alexandria database. Energies are from PBE-GGA.

Properties
- Total DFT energy (no corrections): -6.238 eV/atom
- ΔE_f: 0.45 eV/atom
- Magnetization: 0.000 μB/f.u.
- Fermi-level density of states: 4.26 states/eV per cell
- Energy above the most stable polymorph in this dataset: 88.6 meV per atom

Unit cell a=3.195 b=3.195 c=7.848 alpha=90.00 beta=90.00 gamma=90.00
Space group P4mm (No. 99)
One atom of each set of equivalent atoms:
Ba: 0.000 0.000 0.000
Cu: 0.500 0.500 0.317
Tc: 0.000 0.000 0.505
Tc: 0.500 0.500 0.661